No. 1
GGA-PBE NaTl8In4, optimized geometry; final energy = -31.057 eV per formula unit; ΔE_f = 11.2 meV per atom; crystal system = monoclinic
1.0
-4.268 0.942 2.018
-8.407 -9.219 -7.735
-1.146 -3.475 4.941
In Tl Na
4 8 1
direct
0.889 0.864 0.359
0.282 0.172 0.264
0.591 0.518 0.300
0.325 0.445 0.906
0.939 0.047 0.076
0.580 0.168 0.672
0.238 0.985 0.539
0.063 0.373 0.500
0.847 0.596 0.709
0.823 0.297 0.057
0.112 0.667 0.109
0.358 0.740 0.544
0.599 0.860 0.942

---

No. 2
GGA-PBE LaInIr4, optimized geometry; final energy = -45.021 eV per formula unit; ΔE_f = -318.6 meV per atom; crystal system = cubic
1.0
5.395 0.000 0.000
2.698 4.673 0.000
2.698 1.558 4.405
Ir La In
4 1 1
direct
0.626 0.123 0.626
0.123 0.626 0.626
0.626 0.626 0.626
0.626 0.626 0.123
0.250 0.250 0.250
0.000 0.000 0.000

---

No. 3
GGA-PBE Ac2AlRh, optimized geometry; final energy = -21.342 eV per formula unit; ΔE_f = -507.8 meV per atom; crystal system = monoclinic
1.0
-1.736 -2.691 3.260
2.407 -2.985 2.021
2.061 3.456 7.152
Ac Rh Al
2 1 1
direct
0.886 0.661 0.567
0.702 0.506 0.090
0.484 0.204 0.829
0.139 0.891 0.831

---

No. 4
GGA-PBE La2Dy3Pt4, optimized geometry; final energy = -58.312 eV per formula unit; ΔE_f = -1165.3 meV per atom; crystal system = monoclinic
1.0
-0.846 -7.672 -2.048
3.445 3.755 -5.705
6.857 -1.583 3.098
Dy Pt La
6 8 4
direct
0.000 0.500 0.500
0.249 0.246 0.663
0.500 0.500 0.000
0.749 0.246 0.837
0.251 0.754 0.163
0.751 0.754 0.337
0.867 0.094 0.539
0.367 0.094 0.961
0.133 0.906 0.461
0.633 0.906 0.039
0.127 0.501 0.865
0.373 0.499 0.365
0.873 0.499 0.135
0.627 0.501 0.635
0.087 0.198 0.177
0.587 0.198 0.323
0.413 0.802 0.677
0.913 0.802 0.823